No. 1
Th2UH | PBE | optimized geometry

Values from the calculation:
- calculated density (Mg/m³) = 13.11
- total energy (eV/atom) = -7.048

Cell and atoms, written as extended XYZ:
```
4
Lattice="3.2895 0.0000 0.0000 1.6447 2.8488 0.0000 1.6447 0.9496 9.5012" Properties=species:S:1:pos:R:3 pbc="T T T"
Th 1.6447 0.9496 6.3625
Th 4.9342 2.8487 3.1387
H 3.2895 1.8992 4.7506
U 0.0000 0.0000 0.0000
```

=====

No. 2
ThVH4 | PBE | optimized geometry

Values from the calculation:
- calculated density (Mg/m³) = 7.93
- total energy (eV/atom) = -5.252

Cell and atoms, written as extended XYZ:
```
12
Lattice="4.4080 -1.5347 0.0000 -2.9068 5.8373 0.0000 -0.7506 -2.1513 5.6543" Properties=species:S:1:pos:R:3 pbc="T T T"
H 3.9760 -1.3838 1.1011
H -2.2061 4.3040 1.9506
H 2.9567 -2.1527 3.7037
H 2.6359 -0.9183 1.1011
H -0.7527 1.3853 3.7037
H -3.2255 3.5351 4.5532
H -1.8853 3.0696 4.5532
H 1.5033 0.7660 1.9506
Th -0.3514 2.5350 1.5790
Th 1.1020 -0.3837 4.0753
V 1.1020 -0.3837 0.6623
V -0.3514 2.5350 4.9920
```

=====

No. 3
ThVH3 | PBE | optimized geometry

Values from the calculation:
- calculated density (Mg/m³) = 9.01
- total energy (eV/atom) = -5.498

Cell and atoms, written as extended XYZ:
```
5
Lattice="-3.1771 -1.1942 1.5915 0.4087 -3.3262 -1.6800 1.9473 -1.2503 2.9492" Properties=species:S:1:pos:R:3 pbc="T T T"
H 0.2043 -1.6631 -0.8400
H -1.5886 -0.5971 0.7958
H 0.9737 -0.6251 1.4746
Th -0.4106 -2.8854 1.4304
V 0.0000 0.0000 0.0000
```

=====

No. 4
Th2VH | PBE | optimized geometry

Values from the calculation:
- calculated density (Mg/m³) = 10.20
- total energy (eV/atom) = -6.349

Cell and atoms, written as extended XYZ:
```
4
Lattice="-2.5564 1.1740 -1.7872 -2.9311 -1.5856 0.0435 -4.3543 4.7173 6.2196" Properties=species:S:1:pos:R:3 pbc="T T T"
V 0.0000 0.0000 0.0000
H -4.9209 2.1528 2.2380
Th -6.2762 1.1046 0.3804
Th -3.5656 3.2011 4.0955
```

=====

No. 5
ThHW | PBE | optimized geometry

Values from the calculation:
- calculated density (Mg/m³) = 12.82
- total energy (eV/atom) = -7.604

Cell and atoms, written as extended XYZ:
```
6
Lattice="3.3444 0.0000 0.0000 0.0000 3.9573 0.0000 -1.6722 0.0000 8.1568" Properties=species:S:1:pos:R:3 pbc="T T T"
W 1.6722 0.9893 4.2581
W 0.0000 2.9680 3.8988
Th 0.0000 0.9893 1.4646
Th 1.6722 2.9680 6.6922
H 1.6722 2.9680 0.6493
H 0.0000 0.9893 7.5075
```

=====

No. 6
YThH | PBE | optimized geometry

Values from the calculation:
- calculated density (Mg/m³) = 8.12
- relative energy among the computed polymorphs (meV/atom) = 6

Cell and atoms, written as extended XYZ:
```
3
Lattice="-0.2125 -3.2404 -1.5401 2.3616 2.4186 -1.2209 4.0406 -2.0498 3.7551" Properties=species:S:1:pos:R:3 pbc="T T T"
Th 2.3077 -2.1973 0.1110
Y 3.6788 -1.8662 3.4188
H 4.2438 -0.8578 1.2192
```

=====

No. 7
YThH | PBE | optimized geometry

Values from the calculation:
- calculated density (Mg/m³) = 8.15
- relative energy among the computed polymorphs (meV/atom) = 0

Cell and atoms, written as extended XYZ:
```
6
Lattice="-2.6937 1.3246 -1.7469 -0.6240 -1.5939 3.2060 3.7755 11.4310 2.8459" Properties=species:S:1:pos:R:3 pbc="T T T"
Y 1.0571 4.1017 1.4802
Y -0.5992 7.0601 2.8249
H -1.1556 3.4638 0.9559
H 1.6134 7.6979 3.3492
Th -0.3279 1.0239 1.2819
Th 0.7857 10.1378 3.0231
```

=====

No. 8
YTh2H | PBE | optimized geometry

Values from the calculation:
- calculated density (Mg/m³) = 9.12
- relative energy among the computed polymorphs (meV/atom) = 0

Cell and atoms, written as extended XYZ:
```
4
Lattice="-1.2777 2.4896 2.0145 -2.0009 -0.8139 2.6876 6.8343 -0.0094 7.2973" Properties=species:S:1:pos:R:3 pbc="T T T"
Th 4.1521 0.1828 5.3585
Th -0.5964 1.4836 6.6408
H 1.7778 0.8332 5.9997
Y 0.0000 0.0000 0.0000
```

=====

Please write out number 3 again, unchanged.
ThVH3 | PBE | optimized geometry

Values from the calculation:
- calculated density (Mg/m³) = 9.01
- total energy (eV/atom) = -5.498

Cell and atoms, written as extended XYZ:
```
5
Lattice="-3.1771 -1.1942 1.5915 0.4087 -3.3262 -1.6800 1.9473 -1.2503 2.9492" Properties=species:S:1:pos:R:3 pbc="T T T"
H 0.2043 -1.6631 -0.8400
H -1.5886 -0.5971 0.7958
H 0.9737 -0.6251 1.4746
Th -0.4106 -2.8854 1.4304
V 0.0000 0.0000 0.0000
```

=====

> The lowest calculated density belongs to which entry?

ThVH4

=====

> Look up the calculated density of the third one.

9.01 Mg/m³